Entry 1:
VASP calculation (PBE) on a geometry-optimized LiSmHgSe3 structure.

## Properties
Relative energy among the computed polymorphs = 0.0723 eV per atom
Space group = Cmcm (63)
Magnetic moment = 0.0 μB per cell
ρ = 6.35 g cm⁻³

a = 4.1372 Å, b = 7.0098 Å, c = 11.2284 Å
α = 90.00°, β = 90.00°, γ = 72.84°
Closest atoms and distances in Å follow each position.
Fractional positions:
Se  0.3538  0.2924  0.5653  1 Hg 2.64, 2 Sm 2.94
Se  0.8950  0.2100  0.2500  2 Hg 2.70
Se  0.6462  0.7076  0.0653  1 Hg 2.64, 2 Sm 2.94
Se  0.6462  0.7076  0.4347  1 Hg 2.64, 2 Sm 2.94
Se  0.3538  0.2924  0.9347  1 Hg 2.64, 2 Sm 2.94
Se  0.1050  0.7900  0.7500  2 Hg 2.70
Hg  0.5246  0.9508  0.2500  4 Se 2.64-2.70
Hg  0.4754  0.0492  0.7500  4 Se 2.64-2.70
Li  0.2244  0.5512  0.2500  6 Se 3.08-3.11, 2 Hg 3.38
Li  0.7756  0.4488  0.7500  6 Se 3.08-3.11, 2 Hg 3.38
Sm  0.0000  0.0000  0.0000  6 Se 2.94-3.14
Sm  0.0000  0.0000  0.5000  6 Se 2.94-3.14

---

Entry 2:
VASP calculation (PBE) on a geometry-optimized LiSnHg3Se4 structure.

## Properties
Space group = P-43m (215)
DFT total energy = -22.6 eV per cell
ρ = 6.34 g cm⁻³

a = 6.4896 Å, b = 6.4896 Å, c = 6.4896 Å
α = 90.00°, β = 90.00°, γ = 90.00°
Closest atoms and distances in Å follow each position.
Fractional positions:
Hg  0.5000  0.0000  0.5000  4 Se 2.85
Hg  0.0000  0.5000  0.5000  4 Se 2.85
Hg  0.5000  0.5000  0.0000  4 Se 2.85
Li  0.0000  0.0000  0.0000  4 Se 2.69
Sn  0.5000  0.5000  0.5000  4 Se 2.93, 6 Hg 3.24
Se  0.2389  0.7611  0.7611  1 Li 2.69, 3 Hg 2.85, 1 Sn 2.93
Se  0.7611  0.2389  0.7611  1 Li 2.69, 3 Hg 2.85, 1 Sn 2.93
Se  0.2389  0.2389  0.2389  1 Li 2.69, 3 Hg 2.85, 1 Sn 2.93
Se  0.7611  0.7611  0.2389  1 Li 2.69, 3 Hg 2.85, 1 Sn 2.93

---

Entry 3:
VASP calculation (PBE) on a geometry-optimized LiTmHgSe3 structure.

## Properties
Relative energy among the computed polymorphs = 0.0353 eV per atom
Space group = Cmcm (63)
Magnetic moment = 0.0 μB per cell
ρ = 6.85 g cm⁻³

a = 11.0786 Å, b = 6.9352 Å, c = 6.9352 Å
α = 146.05°, β = 90.00°, γ = 90.00°
Closest atoms and distances in Å follow each position.
Fractional positions:
Hg  0.2500  0.4675  0.5325  4 Se 2.61-2.71
Hg  0.7500  0.5325  0.4675  4 Se 2.61-2.71
Tm  0.0000  0.0000  0.0000  6 Se 2.85-3.09
Tm  0.5000  0.0000  0.0000  6 Se 2.85-3.09
Se  0.9442  0.6437  0.3563  1 Hg 2.61, 2 Tm 2.85
Se  0.4442  0.3563  0.6437  1 Hg 2.61, 2 Tm 2.85
Se  0.7500  0.8967  0.1033  2 Hg 2.71, 2 Li 2.91
Se  0.5558  0.6437  0.3563  1 Hg 2.61, 2 Tm 2.85
Se  0.0558  0.3563  0.6437  1 Hg 2.61, 2 Tm 2.85
Se  0.2500  0.1033  0.8967  2 Hg 2.71, 2 Li 2.91
Li  0.7500  0.2388  0.7612  6 Se 2.91-3.21
Li  0.2500  0.7612  0.2388  6 Se 2.91-3.21

---

Entry 4:
VASP calculation (PBE) on a geometry-optimized LiTmHgSe3 structure.

## Properties
Relative energy among the computed polymorphs = 0.0000 eV per atom
Space group = Pnma (62)
Magnetic moment = 0.0 μB per cell
ρ = 6.69 g cm⁻³

a = 11.7375 Å, b = 4.0108 Å, c = 12.9445 Å
α = 90.00°, β = 90.00°, γ = 90.00°
Closest atoms and distances in Å follow each position.
Fractional positions:
Se  0.8702  0.0000  0.7679  2 Hg 2.75, 1 Tm 2.76, 2 Li 2.83
Se  0.1455  0.0000  0.9337  1 Hg 2.75, 3 Li 2.79-2.85, 2 Tm 2.90
Se  0.9203  0.5000  0.4311  1 Hg 2.58, 2 Tm 2.83
Se  0.5797  0.5000  0.9311  1 Hg 2.58, 2 Tm 2.83
Se  0.6298  0.0000  0.2679  2 Hg 2.75, 1 Tm 2.76, 2 Li 2.83
Se  0.0797  0.0000  0.5689  1 Hg 2.58, 2 Tm 2.83
Se  0.1298  0.5000  0.2321  2 Hg 2.75, 1 Tm 2.76, 2 Li 2.83
Se  0.4203  0.0000  0.0689  1 Hg 2.58, 2 Tm 2.83
Se  0.6455  0.5000  0.5663  1 Hg 2.75, 3 Li 2.79-2.85, 2 Tm 2.90
Se  0.3545  0.0000  0.4337  1 Hg 2.75, 3 Li 2.79-2.85, 2 Tm 2.90
Se  0.3702  0.5000  0.7321  2 Hg 2.75, 1 Tm 2.76, 2 Li 2.83
Se  0.8545  0.5000  0.0663  1 Hg 2.75, 3 Li 2.79-2.85, 2 Tm 2.90
Hg  0.7097  0.5000  0.7708  4 Se 2.58-2.75
Hg  0.7903  0.5000  0.2708  4 Se 2.58-2.75
Hg  0.2097  0.0000  0.7292  4 Se 2.58-2.75
Hg  0.2903  0.0000  0.2292  4 Se 2.58-2.75
Tm  0.8243  0.0000  0.5586  6 Se 2.76-3.00
Tm  0.1757  0.5000  0.4414  6 Se 2.76-3.00
Tm  0.6757  0.0000  0.0586  6 Se 2.76-3.00
Tm  0.3243  0.5000  0.9414  6 Se 2.76-3.00
Li  0.5183  0.5000  0.3842  5 Se 2.79-2.85
Li  0.9817  0.5000  0.8842  5 Se 2.79-2.85
Li  0.4817  0.0000  0.6158  5 Se 2.79-2.85
Li  0.0183  0.0000  0.1158  5 Se 2.79-2.85

---

Entry 5:
VASP calculation (PBE) on a geometry-optimized LiZrHg3Se4 structure.

## Properties
Space group = P-43m (215)
DFT total energy = -28.6 eV per cell
Magnetic moment = 0.0 μB per cell
ρ = 5.25 g cm⁻³

a = 6.8498 Å, b = 6.8498 Å, c = 6.8498 Å
α = 90.00°, β = 90.00°, γ = 90.00°
Closest atoms and distances in Å follow each position.
Fractional positions:
Se  0.2799  0.2799  0.2799  1 Zr 2.61, 3 Hg 2.87
Se  0.7201  0.2799  0.7201  1 Zr 2.61, 3 Hg 2.87
Se  0.7201  0.7201  0.2799  1 Zr 2.61, 3 Hg 2.87
Se  0.2799  0.7201  0.7201  1 Zr 2.61, 3 Hg 2.87
Hg  0.0000  0.5000  0.5000  4 Se 2.87
Hg  0.5000  0.0000  0.5000  4 Se 2.87
Hg  0.5000  0.5000  0.0000  4 Se 2.87
Li  0.0000  0.0000  0.0000  4 Se 3.32
Zr  0.5000  0.5000  0.5000  4 Se 2.61

---

Entry 6:
VASP calculation (PBE) on a geometry-optimized LiSiHg2 structure.

## Properties
Space group = F-43m (216)
DFT total energy = -7.2 eV per cell
ρ = 9.06 g cm⁻³

a = 4.8351 Å, b = 4.8351 Å, c = 4.8351 Å
α = 60.00°, β = 60.00°, γ = 60.00°
Closest atoms and distances in Å follow each position.
Fractional positions:
Hg  0.0000  0.0000  0.0000  4 Hg 2.96, 4 Li 2.96
Hg  0.7500  0.7500  0.7500  4 Hg 2.96, 4 Si 2.96
Si  0.5000  0.5000  0.5000  4 Li 2.96, 4 Hg 2.96
Li  0.2500  0.2500  0.2500  4 Si 2.96, 4 Hg 2.96